K2Cd9Ag6 PBE optimized geometry; symmetry = No. 191; E_form = 7 meV/atom; total magnetization = 0.00 μB/f.u.
1.0
6.066 0.000 0.000
-3.033 5.254 0.000
0.000 0.000 13.977
K Cd Ag
2 9 6
Cartesian
0.000 0.000 9.368
0.000 0.000 4.609
3.033 0.000 11.693
-1.517 2.627 11.693
1.517 2.627 11.693
3.033 0.000 2.284
-1.517 2.627 2.284
1.517 2.627 2.284
3.033 0.000 6.988
-1.517 2.627 6.988
1.517 2.627 6.988
0.000 3.502 0.000
3.033 1.751 0.000
0.000 3.502 9.343
3.033 1.751 9.343
3.033 1.751 4.634
0.000 3.502 4.634